Entry 1:
Compound: In2Ag7Au2
Source: Alexandria
Functional: PBE-GGA
Structure: optimized geometry

Unit cell a=5.1441 b=6.8537 c=6.8537 alpha=90.61 beta=108.46 gamma=108.46
Fractional positions:
Ag: 0.8149 0.5905 0.5905
Ag: 0.0000 0.0000 0.0000
Ag: 0.8336 0.5871 0.0742
Ag: 0.8336 0.0742 0.5871
Ag: 0.1851 0.4095 0.4095
Ag: 0.1664 0.9258 0.4129
Ag: 0.1664 0.4129 0.9258
In: 0.5000 0.8050 0.1950
In: 0.5000 0.1950 0.8050
Au: 0.4431 0.7507 0.7507
Au: 0.5569 0.2493 0.2493

SG: C2/m (12)
DFT formation energy: 0.0129 eV per atom
density of states at the Fermi level: 0.23 states/eV per atom


Entry 2:
Compound: TaReRh4
Source: Alexandria
Functional: PBE-GGA
Structure: optimized geometry

Unit cell a=5.0612 b=5.0612 c=5.0612 alpha=60.00 beta=60.00 gamma=60.00
Fractional positions:
Rh: 0.3744 0.8767 0.3744
Rh: 0.8767 0.3744 0.3744
Rh: 0.3744 0.3744 0.3744
Rh: 0.3744 0.3744 0.8767
Ta: 0.7500 0.7500 0.7500
Re: 0.0000 0.0000 0.0000

SG: F-43m (216)
DFT formation energy: 0.1261 eV per atom
density of states at the Fermi level: 1.60 states/eV per atom


Entry 3:
Compound: Tl2SnGeSe4
Source: Alexandria
Functional: PBE-GGA
Structure: optimized geometry

Unit cell a=6.4386 b=8.7993 c=9.7839 alpha=90.00 beta=90.00 gamma=90.00
Fractional positions:
Tl: 0.9414 0.6560 0.2682
Tl: 0.4414 0.3440 0.2318
Tl: 0.4414 0.3440 0.7682
Tl: 0.9414 0.6560 0.7318
Se: 0.9232 0.2548 0.7988
Se: 0.4232 0.7452 0.2988
Se: 0.8990 0.8512 0.0000
Se: 0.9232 0.2548 0.2012
Se: 0.8894 0.8990 0.5000
Se: 0.3894 0.1010 0.0000
Se: 0.3990 0.1488 0.5000
Se: 0.4232 0.7452 0.7012
Sn: 0.9705 0.1973 0.5000
Sn: 0.4705 0.8027 0.0000
Ge: 0.0119 0.1157 0.0000
Ge: 0.5119 0.8843 0.5000

SG: Pmn2_1 (31)
energy relative to the elements, uncorrected: -351 meV/atom


Entry 4:
Compound: Ac2PrAu
Source: Alexandria
Functional: PBE-GGA
Structure: optimized geometry

Unit cell a=4.0991 b=4.0991 c=10.6778 alpha=78.93 beta=78.93 gamma=60.00
Fractional positions:
Ac: 0.2645 0.2645 0.2065
Ac: 0.0693 0.0693 0.7922
Au: 0.6670 0.6670 0.9989
Pr: 0.4992 0.4992 0.5024

SG: R3m (160)
polymorph energy (0 for the lowest one): 2.38 kcal/mol of atoms
DFT formation energy: -0.2753 eV per atom
density of states at the Fermi level: 1.16 states/eV per atom